KRb2MgAs: optimized geometry, PBE.

Lattice parameters (Å, degrees): 7.1750 7.1750 5.0769 90.00 90.00 90.00
Fractional coordinates of all 5 atoms:
K (0.0000, 0.0000, 0.0000)
Rb (0.0000, 0.5000, 0.5000)
Rb (0.5000, 0.0000, 0.5000)
Mg (0.5000, 0.5000, 0.0000)
As (0.5000, 0.5000, 0.5000)

Computed properties:
- V (A^3/atom) = 52.3
- electronic total energy (hartree per atom) = -0.073
- calculated formation energy (eV per atom) = -0.12
- M_tot (μB/f.u.) = 0.00